# 1
A relaxed structure of Lu3Ge3Ru2. Source: Alexandria, functional GGA-PBE.

The formation energy comes out at -75.5 kJ per mole of atoms. Its electronic total energy is -6.529 eV per atom. As for the symmetry: Cmcm (63).

abc: 5.7184 5.7184 13.7178
angles: 90.00 90.00 136.49
Fractional coordinates of all 16 atoms:
Ge 0.3861 0.6139 0.5410
Ge 0.6599 0.3401 0.7500
Ru 0.2125 0.7875 0.0836
Ge 0.3861 0.6139 0.9590
Ge 0.3401 0.6599 0.2500
Ge 0.6139 0.3861 0.0410
Lu 0.9224 0.0776 0.1129
Lu 0.3518 0.6482 0.7500
Lu 0.9224 0.0776 0.3871
Lu 0.6482 0.3518 0.2500
Ru 0.7875 0.2125 0.5836
Lu 0.0776 0.9224 0.6129
Ru 0.2125 0.7875 0.4164
Lu 0.0776 0.9224 0.8871
Ge 0.6139 0.3861 0.4590
Ru 0.7875 0.2125 0.9164

# 2
A relaxed structure of Lu2GeRu. Source: Alexandria, functional GGA-PBE.

The formation energy comes out at 1.2 kJ per mole of atoms. Its electronic total energy is -5.722 eV per atom. As for the symmetry: R-3m (166).

abc: 3.3546 3.3546 9.8851
angles: 80.23 80.23 60.00
Fractional coordinates of all 4 atoms:
Lu 0.0994 0.0994 0.7018
Ge 0.0000 0.0000 0.0000
Lu 0.9006 0.9006 0.2982
Ru 0.5000 0.5000 0.5000

# 3
A relaxed structure of Lu4Ge8Ru. Source: Alexandria, functional GGA-PBE.

The formation energy comes out at -51.9 kJ per mole of atoms. Its electronic total energy is -5.484 eV per atom. As for the symmetry: Pmm2 (25).

abc: 3.9721 4.0862 15.9079
angles: 90.00 90.00 90.00
Fractional coordinates of all 13 atoms:
Lu 0.0000 0.5000 0.6111
Ge 0.0000 0.0000 0.7507
Lu 0.5000 0.0000 0.8949
Ge 0.0000 0.0000 0.4684
Ge 0.5000 0.5000 0.7555
Lu 0.5000 0.5000 0.3991
Ru 0.0000 0.0000 0.3164
Ge 0.5000 0.0000 0.5737
Ge 0.5000 0.5000 0.0478
Ge 0.0000 0.5000 0.2289
Lu 0.0000 0.0000 0.0950
Ge 0.0000 0.5000 0.9379
Ge 0.5000 0.0000 0.2275